Entry 1:
Material: Er2TlOs
Method: DFT, PBE
State: optimized geometry

Calculated values
- Total moment: 0.0 μB/cell
- Crystal system: tetragonal
- Excess energy over the best structure of this formula in the dataset: 0.071 eV/f.u.
- N(E_F): 2.707 states/eV per cell

Unit cell a=3.608 b=4.983 c=4.983 alpha=90.00 beta=90.00 gamma=90.00
Positions (direct):
Os 0.500 0.000 0.000
Er 0.000 0.000 0.500
Er 0.000 0.500 0.000
Tl 0.500 0.500 0.500

Entry 2:
Material: HgIr2Os
Method: DFT, PBE
State: optimized geometry

Calculated values
- Total moment: 0.8 μB/cell
- Crystal system: orthorhombic
- Energy: -6.492 eV/atom
- N(E_F): 5.839 states/eV per cell

Unit cell a=2.806 b=4.835 c=4.750 alpha=90.00 beta=90.00 gamma=90.00
Site moments in Bohr magnetons follow the coordinates.
Positions (direct):
Os 0.500 0.000 0.500  0.52
Hg 0.000 0.500 0.500  0.01
Ir 0.000 0.000 0.000  0.13
Ir 0.500 0.500 0.000  0.14

Entry 3:
Material: Hf5AuS
Method: DFT, PBE
State: optimized geometry

Calculated values
- Total moment: 0.0 μB/cell
- Crystal system: monoclinic
- Uncorrected formation energy: -0.384 eV/atom
- N(E_F): 10.939 states/eV per cell

Unit cell a=5.825 b=5.825 c=10.179 alpha=71.68 beta=71.68 gamma=64.71
Positions (direct):
Hf 0.914 0.610 0.125
Hf 0.492 0.785 0.943
Hf 0.390 0.086 0.375
Hf 0.086 0.390 0.875
S 0.000 0.000 0.500
Hf 0.960 0.040 0.250
S 0.000 0.000 0.000
Hf 0.040 0.960 0.750
Hf 0.215 0.508 0.557
Au 0.580 0.420 0.750
Hf 0.508 0.215 0.057
Hf 0.610 0.914 0.625
Au 0.420 0.580 0.250
Hf 0.785 0.492 0.443

Entry 4:
Material: La6Ge3TeSe2
Method: DFT, PBE
State: optimized geometry

Calculated values
- Total moment: 0.0 μB/cell
- Crystal system: monoclinic
- Uncorrected formation energy: -1.386 eV/atom
- N(E_F): 3.897 states/eV per cell

Unit cell a=4.426 b=8.905 c=9.930 alpha=103.26 beta=102.88 gamma=90.00
Positions (direct):
La 0.665 0.588 0.330
Ge 0.166 0.832 0.331
La 0.335 0.412 0.670
La 0.001 0.735 0.002
La 0.999 0.265 0.998
Te 0.500 0.000 0.000
Ge 0.500 0.500 0.000
La 0.327 0.920 0.654
Se 0.832 0.665 0.665
Se 0.168 0.335 0.335
Ge 0.834 0.168 0.669
La 0.673 0.080 0.346